Compound: Li3Ce3NpSe8
Source: Alexandria via LeMat-Bulk
Functional: GGA-PBE
Structure: optimized geometry

calculated total energy = -5.79 eV/atom
M_tot = 18.00 Bohr magnetons per cell
ΔE_f (raw) = -1504 meV/atom
ρ = 5.50 g/cm3

Cell and atoms, written as CIF:
```
data_Li3Ce3NpSe8
_cell_length_a 8.4231
_cell_length_b 8.4231
_cell_length_c 19.2963
_cell_angle_alpha 90.00
_cell_angle_beta 90.00
_cell_angle_gamma 120.00
_space_group_name_H-M_alt 'R -3 m'
_space_group_IT_number 166
_space_group_name_Hall '-R 3 2"'
loop_
_atom_site_label
_atom_site_fract_x
_atom_site_fract_y
_atom_site_fract_z
_atom_site_occupancy
Li1 0.0000 0.5000 0.0000 1
Ce1 0.0000 0.5000 0.5000 1
Np1 0.0000 0.0000 0.5000 1
Se1 0.0000 0.0000 0.2532 1
Se2 0.0069 0.5035 0.2497 1
```

=====

Compound: Pr6SnSe4
Source: Alexandria via LeMat-Bulk
Functional: GGA-PBE
Structure: optimized geometry

calculated total energy = -5.73 eV/atom
M_tot = 2.22 Bohr magnetons per cell
ΔE_f (raw) = -1495 meV/atom
ρ = 6.52 g/cm3

Cell and atoms, written as CIF:
```
data_Pr6SnSe4
_cell_length_a 4.331
_cell_length_b 13.962
_cell_length_c 21.555
_cell_angle_alpha 90.00
_cell_angle_beta 90.00
_cell_angle_gamma 90.00
_space_group_name_H-M_alt 'C m c m'
_space_group_IT_number 63
_space_group_name_Hall '-C 2c 2'
loop_
_atom_site_label
_atom_site_fract_x
_atom_site_fract_y
_atom_site_fract_z
_atom_site_occupancy
Pr1 0.000 0.000 0.000 1
Pr2 0.000 0.168 0.250 1
Pr3 0.000 0.271 0.587 1
Pr4 0.000 0.453 0.163 1
Sn1 0.000 0.165 0.750 1
Se1 0.000 0.091 0.124 1
Se2 0.000 0.362 0.039 1
```

=====

Compound: CeLuPaIn
Source: Alexandria via LeMat-Bulk
Functional: GGA-PBE
Structure: optimized geometry

calculated total energy = -5.55 eV/atom
ΔE_f = 11.9 kJ per mole of atoms
M_tot = 9.01 Bohr magnetons per cell
ρ = 10.55 g/cm3

Cell and atoms, written as CIF:
```
data_CeLuPaIn
_cell_length_a 7.465
_cell_length_b 7.465
_cell_length_c 7.465
_cell_angle_alpha 90.00
_cell_angle_beta 90.00
_cell_angle_gamma 90.00
_space_group_name_H-M_alt 'F -4 3 m'
_space_group_IT_number 216
_space_group_name_Hall 'F -4 2 3'
loop_
_atom_site_label
_atom_site_fract_x
_atom_site_fract_y
_atom_site_fract_z
_atom_site_occupancy
Ce1 0.000 0.000 0.000 1
Lu1 0.250 0.250 0.750 1
Pa1 0.250 0.250 0.250 1
In1 0.000 0.000 0.500 1
```

=====

Compound: Rb4AuO2
Source: Alexandria via LeMat-Bulk
Functional: GGA-PBE
Structure: optimized geometry

calculated total energy = -3.14 eV/atom
M_tot = 4.02 Bohr magnetons per cell
ΔE_f (raw) = -703 meV/atom
ρ = 4.32 g/cm3

Cell and atoms, written as CIF:
```
data_Rb4AuO2
_cell_length_a 4.389
_cell_length_b 14.079
_cell_length_c 14.206
_cell_angle_alpha 90.00
_cell_angle_beta 90.00
_cell_angle_gamma 90.00
_space_group_name_H-M_alt 'C m c m'
_space_group_IT_number 63
_space_group_name_Hall '-C 2c 2'
loop_
_atom_site_label
_atom_site_fract_x
_atom_site_fract_y
_atom_site_fract_z
_atom_site_occupancy
Rb1 0.000 0.000 0.000 1
Rb2 0.000 0.272 0.097 1
Rb3 0.000 0.408 0.750 1
Au1 0.000 0.102 0.750 1
O1 0.000 0.360 0.572 1
```

=====

Compound: AgIrAu2
Source: Alexandria via LeMat-Bulk
Functional: GGA-PBE
Structure: optimized geometry

calculated total energy = -4.13 eV/atom
ΔE_f = 42.1 kJ per mole of atoms
M_tot = 0.01 Bohr magnetons per cell
ρ = 16.83 g/cm3

Cell and atoms, written as CIF:
```
data_AgIrAu2
_cell_length_a 6.495
_cell_length_b 6.495
_cell_length_c 6.495
_cell_angle_alpha 90.00
_cell_angle_beta 90.00
_cell_angle_gamma 90.00
_space_group_name_H-M_alt 'F -4 3 m'
_space_group_IT_number 216
_space_group_name_Hall 'F -4 2 3'
loop_
_atom_site_label
_atom_site_fract_x
_atom_site_fract_y
_atom_site_fract_z
_atom_site_occupancy
Ag1 0.000 0.000 0.000 1
Ir1 0.250 0.250 0.250 1
Au1 0.000 0.000 0.500 1
Au2 0.250 0.250 0.750 1
```

=====

Compound: MgNiRu2
Source: Alexandria via LeMat-Bulk
Functional: GGA-PBE
Structure: optimized geometry

calculated total energy = -6.29 eV/atom
ΔE_f = 18.3 kJ per mole of atoms
M_tot = 0.03 Bohr magnetons per cell
ρ = 8.53 g/cm3

Cell and atoms, written as CIF:
```
data_MgNiRu2
_cell_length_a 3.716
_cell_length_b 3.716
_cell_length_c 8.039
_cell_angle_alpha 90.00
_cell_angle_beta 90.00
_cell_angle_gamma 90.00
_space_group_name_H-M_alt 'I 4/m m m'
_space_group_IT_number 139
_space_group_name_Hall '-I 4 2'
loop_
_atom_site_label
_atom_site_fract_x
_atom_site_fract_y
_atom_site_fract_z
_atom_site_occupancy
Mg1 0.000 0.000 0.000 1
Ni1 0.000 0.000 0.500 1
Ru1 0.000 0.500 0.250 1
```

=====

Among the records above, which one has the highest M_tot? Li3Ce3NpSe8

=====

The highest ρ belongs to which entry? AgIrAu2